No. 1
Here is crystalline YTcTe at its relaxed geometry from Alexandria. Energies are from PBE.

a b c (Å): 3.375 3.375 11.622
angles (deg): 90.00 90.00 90.00
Space group I4mm (No. 107)
Unique sites:
Y  0.000  0.000  0.000 [2 per cell]
Tc  0.000  0.000  0.669 [2 per cell]
Te  0.000  0.000  0.286 [2 per cell]

Calculated values
**E_form (uncorrected)**: -0.230 eV/atom
**Distance to the lowest polymorph of the same formula**: 352 meV/atom
**Uncorrected energy**: -0.506 Ry per atom
**Density of states at the Fermi level**: 0.262 states/eV per atom



No. 2
Here is crystalline Y6TcTe2 at its relaxed geometry from Alexandria. Energies are from PBE.

a b c (Å): 8.3212 8.3212 4.1102
angles (deg): 90.00 90.00 120.00
Space group P-62m (No. 189)
Unique sites:
Y  0.0000  0.3939  0.0000 [3 per cell]
Y  0.0000  0.7617  0.5000 [3 per cell]
Tc  0.0000  0.0000  0.0000 [1 per cell]
Te  0.3333  0.6667  0.5000 [2 per cell]

Calculated values
**E_form (uncorrected)**: -0.671 eV/atom
**Uncorrected energy**: -0.502 Ry per atom
**Density of states at the Fermi level**: 1.015 states/eV per atom



No. 3
Here is crystalline YTcTe at its relaxed geometry from Alexandria. Energies are from PBE.

a b c (Å): 4.3968 4.3968 26.9278
angles (deg): 90.00 90.00 120.00
Space group R3m (No. 160, hexagonal axes)
Unique sites:
Y  0.0000  0.0000  0.0000 [3 per cell]
Y  0.0000  0.0000  0.1507 [3 per cell]
Tc  0.0000  0.0000  0.5561 [3 per cell]
Tc  0.0000  0.0000  0.8888 [3 per cell]
Te  0.0000  0.0000  0.2699 [3 per cell]
Te  0.0000  0.0000  0.7369 [3 per cell]

Calculated values
**E_form (uncorrected)**: -0.582 eV/atom
**Distance to the lowest polymorph of the same formula**: 0 meV/atom
**Uncorrected energy**: -0.532 Ry per atom
**Density of states at the Fermi level**: 0.853 states/eV per atom



No. 4
Here is crystalline YZnTc2Te at its relaxed geometry from Alexandria. Energies are from PBE.

a b c (Å): 4.714 4.714 5.107
angles (deg): 90.00 90.00 90.00
Space group P4/mmm (No. 123)
Unique sites:
Y  0.000  0.000  0.000 [1 per cell]
Zn  0.500  0.500  0.500 [1 per cell]
Tc  0.000  0.500  0.500 [2 per cell]
Te  0.500  0.500  0.000 [1 per cell]

Calculated values
**E_form (uncorrected)**: 0.908 eV/atom
**Uncorrected energy**: -0.398 Ry per atom
**Density of states at the Fermi level**: 1.245 states/eV per atom



No. 5
Here is crystalline ZnTcTe2 at its relaxed geometry from Alexandria. Energies are from PBE.

a b c (Å): 6.899 6.899 6.899
angles (deg): 90.00 90.00 90.00
Space group F-43m (No. 216)
Unique sites:
Zn  0.000  0.000  0.000 [4 per cell]
Tc  0.250  0.250  0.250 [4 per cell]
Te  0.000  0.000  0.500 [4 per cell]
Te  0.250  0.250  0.750 [4 per cell]

Calculated values
**E_form (uncorrected)**: 0.794 eV/atom
**Uncorrected energy**: -0.271 Ry per atom
**Density of states at the Fermi level**: 0.974 states/eV per atom



No. 6
Here is crystalline ZnTcTe2 at its relaxed geometry from Alexandria. Energies are from PBE.

a b c (Å): 3.187 3.187 9.096
angles (deg): 90.00 90.00 90.00
Space group P4mm (No. 99)
Unique sites:
Zn  0.000  0.000  0.000 [1 per cell]
Tc  0.500  0.500  0.174 [1 per cell]
Te  0.000  0.000  0.341 [1 per cell]
Te  0.500  0.500  0.742 [1 per cell]

Calculated values
**E_form (uncorrected)**: 0.104 eV/atom
**Uncorrected energy**: -0.322 Ry per atom
**Density of states at the Fermi level**: 0.442 states/eV per atom



No. 7
Here is crystalline ZnTcTe3 at its relaxed geometry from Alexandria. Energies are from PBE.

a b c (Å): 5.266 5.266 5.266
angles (deg): 90.00 90.00 90.00
Space group Pm-3m (No. 221)
Unique sites:
Zn  0.000  0.000  0.000 [1 per cell]
Tc  0.500  0.500  0.500 [1 per cell]
Te  0.000  0.000  0.500 [3 per cell]

Calculated values
**E_form (uncorrected)**: 1.066 eV/atom
**Distance to the lowest polymorph of the same formula**: 523 meV/atom
**Uncorrected energy**: -0.231 Ry per atom
**Density of states at the Fermi level**: 0.952 states/eV per atom



No. 8
Here is crystalline ZnTcTe2 at its relaxed geometry from Alexandria. Energies are from PBE.

a b c (Å): 8.856 3.398 6.543
angles (deg): 90.00 102.20 90.00
Space group Cm (No. 8)
Unique sites:
Zn  0.000  0.000  0.000 [2 per cell]
Tc  0.236  0.500  0.105 [2 per cell]
Te  0.232  0.000  0.787 [2 per cell]
Te  0.449  0.000  0.342 [2 per cell]

Calculated values
**E_form (uncorrected)**: 0.098 eV/atom
**Uncorrected energy**: -0.322 Ry per atom
**Density of states at the Fermi level**: 0.641 states/eV per atom



No. 9
Here is crystalline ZnTcTe2 at its relaxed geometry from Alexandria. Energies are from PBE.

a b c (Å): 3.226 3.226 8.937
angles (deg): 90.00 90.00 90.00
Space group P4/mmm (No. 123)
Unique sites:
Zn  0.000  0.000  0.000 [1 per cell]
Tc  0.000  0.000  0.500 [1 per cell]
Te  0.500  0.500  0.311 [2 per cell]

Calculated values
**E_form (uncorrected)**: 0.194 eV/atom
**Uncorrected energy**: -0.315 Ry per atom
**Density of states at the Fermi level**: 0.655 states/eV per atom



No. 10
Here is crystalline ZnTcTe2 at its relaxed geometry from Alexandria. Energies are from PBE.

a b c (Å): 3.2209 3.2209 31.4330
angles (deg): 90.00 90.00 120.00
Space group R3m (No. 160, hexagonal axes)
Unique sites:
Zn  0.0000  0.0000  0.0000 [3 per cell]
Tc  0.0000  0.0000  0.7295 [3 per cell]
Te  0.0000  0.0000  0.2477 [3 per cell]
Te  0.0000  0.0000  0.4553 [3 per cell]

Calculated values
**E_form (uncorrected)**: 0.155 eV/atom
**Uncorrected energy**: -0.318 Ry per atom
**Density of states at the Fermi level**: 0.448 states/eV per atom



No. 11
Here is crystalline ZnTcTe2 at its relaxed geometry from Alexandria. Energies are from PBE.

a b c (Å): 6.073 7.679 3.449
angles (deg): 90.00 90.24 90.00
Space group C2/m (No. 12)
Unique sites:
Zn  0.000  0.000  0.000 [2 per cell]
Tc  0.000  0.500  0.000 [2 per cell]
Te  0.250  0.250  0.500 [4 per cell]

Calculated values
**E_form (uncorrected)**: 0.480 eV/atom
**Uncorrected energy**: -0.294 Ry per atom
**Density of states at the Fermi level**: 0.977 states/eV per atom



No. 12
Here is crystalline ZnTcTe2 at its relaxed geometry from Alexandria. Energies are from PBE.

a b c (Å): 6.167 6.167 11.918
angles (deg): 90.00 90.00 90.00
Space group I-42d (No. 122)
Unique sites:
Zn  0.000  0.000  0.000 [4 per cell]
Tc  0.000  0.000  0.500 [4 per cell]
Te  0.234  0.250  0.625 [8 per cell]

Calculated values
**E_form (uncorrected)**: 0.208 eV/atom
**Uncorrected energy**: -0.314 Ry per atom
**Density of states at the Fermi level**: 1.334 states/eV per atom



No. 13
Here is crystalline ZnTcTe2 at its relaxed geometry from Alexandria. Energies are from PBE.

a b c (Å): 7.170 3.588 7.406
angles (deg): 90.00 105.74 90.00
Space group C2/m (No. 12)
Unique sites:
Zn  0.000  0.000  0.000 [2 per cell]
Tc  0.000  0.500  0.500 [2 per cell]
Te  0.249  0.000  0.718 [4 per cell]

Calculated values
**E_form (uncorrected)**: 0.146 eV/atom
**Uncorrected energy**: -0.319 Ry per atom
**Density of states at the Fermi level**: 0.946 states/eV per atom



No. 14
Here is crystalline ZnTc3Te at its relaxed geometry from Alexandria. Energies are from PBE.

a b c (Å): 4.581 4.581 4.581
angles (deg): 90.00 90.00 90.00
Space group Pm-3m (No. 221)
Unique sites:
Zn  0.000  0.000  0.000 [1 per cell]
Tc  0.000  0.000  0.500 [3 per cell]
Te  0.500  0.500  0.500 [1 per cell]

Calculated values
**E_form (uncorrected)**: 1.550 eV/atom
**Distance to the lowest polymorph of the same formula**: 0 meV/atom
**Uncorrected energy**: -0.408 Ry per atom
**Density of states at the Fermi level**: 1.269 states/eV per atom



No. 15
Here is crystalline ZnTcTe2 at its relaxed geometry from Alexandria. Energies are from PBE.

a b c (Å): 4.178 4.178 9.440
angles (deg): 90.00 90.00 90.00
Space group I-4m2 (No. 119)
Unique sites:
Zn  0.000  0.000  0.000 [2 per cell]
Tc  0.000  0.500  0.750 [2 per cell]
Te  0.000  0.000  0.500 [2 per cell]
Te  0.000  0.500  0.250 [2 per cell]

Calculated values
**E_form (uncorrected)**: 0.636 eV/atom
**Uncorrected energy**: -0.283 Ry per atom
**Density of states at the Fermi level**: 1.153 states/eV per atom



No. 16
Here is crystalline ZnTcTe3 at its relaxed geometry from Alexandria. Energies are from PBE.

a b c (Å): 5.267 5.267 5.267
angles (deg): 90.00 90.00 90.00
Space group Pm-3m (No. 221)
Unique sites:
Zn  0.000  0.000  0.000 [1 per cell]
Tc  0.500  0.500  0.500 [1 per cell]
Te  0.000  0.500  0.500 [3 per cell]

Calculated values
**E_form (uncorrected)**: 0.544 eV/atom
**Distance to the lowest polymorph of the same formula**: 0 meV/atom
**Uncorrected energy**: -0.270 Ry per atom
**Density of states at the Fermi level**: 1.287 states/eV per atom



No. 17
Here is crystalline ZnTcTe4 at its relaxed geometry from Alexandria. Energies are from PBE.

a b c (Å): 8.963 8.963 8.963
angles (deg): 90.00 90.00 90.00
Space group F-43m (No. 216)
Unique sites:
Zn  0.000  0.000  0.000 [4 per cell]
Tc  0.250  0.250  0.750 [4 per cell]
Te  0.125  0.125  0.375 [16 per cell]

Calculated values
**E_form (uncorrected)**: 1.020 eV/atom
**Uncorrected energy**: -0.222 Ry per atom
**Density of states at the Fermi level**: 0.690 states/eV per atom



No. 18
Here is crystalline ZnTc3Te at its relaxed geometry from Alexandria. Energies are from PBE.

a b c (Å): 4.826 4.826 4.826
angles (deg): 90.00 90.00 90.00
Space group Pm-3m (No. 221)
Unique sites:
Zn  0.000  0.000  0.000 [1 per cell]
Tc  0.000  0.500  0.500 [3 per cell]
Te  0.500  0.500  0.500 [1 per cell]

Calculated values
**E_form (uncorrected)**: 1.733 eV/atom
**Distance to the lowest polymorph of the same formula**: 183 meV/atom
**Uncorrected energy**: -0.395 Ry per atom
**Density of states at the Fermi level**: 0.742 states/eV per atom



No. 19
Here is crystalline ZnTcTe2 at its relaxed geometry from Alexandria. Energies are from PBE.

a b c (Å): 3.363 4.746 5.088
angles (deg): 90.00 90.00 90.00
Space group Pmmm (No. 47)
Unique sites:
Zn  0.000  0.000  0.000 [1 per cell]
Tc  0.000  0.500  0.500 [1 per cell]
Te  0.500  0.000  0.500 [1 per cell]
Te  0.500  0.500  0.000 [1 per cell]

Calculated values
**E_form (uncorrected)**: 0.516 eV/atom
**Uncorrected energy**: -0.291 Ry per atom
**Density of states at the Fermi level**: 1.017 states/eV per atom



No. 20
Here is crystalline ZnTcTe2 at its relaxed geometry from Alexandria. Energies are from PBE.

a b c (Å): 3.259 3.319 18.183
angles (deg): 90.00 90.00 90.00
Space group Imm2 (No. 44)
Unique sites:
Zn  0.000  0.000  0.000 [2 per cell]
Tc  0.000  0.500  0.741 [2 per cell]
Te  0.000  0.000  0.358 [2 per cell]
Te  0.000  0.500  0.163 [2 per cell]

Calculated values
**E_form (uncorrected)**: 0.182 eV/atom
**Uncorrected energy**: -0.316 Ry per atom
**Density of states at the Fermi level**: 0.589 states/eV per atom



No. 21
Here is crystalline ZnTcTe2 at its relaxed geometry from Alexandria. Energies are from PBE.

a b c (Å): 4.095 5.082 4.668
angles (deg): 90.00 109.25 90.00
Space group Pm (No. 6)
Unique sites:
Zn  0.000  0.000  0.000 [1 per cell]
Tc  0.138  0.500  0.768 [1 per cell]
Te  0.335  0.000  0.608 [1 per cell]
Te  0.774  0.500  0.151 [1 per cell]

Calculated values
**E_form (uncorrected)**: 0.213 eV/atom
**Uncorrected energy**: -0.314 Ry per atom
**Density of states at the Fermi level**: 0.873 states/eV per atom



No. 22
Here is crystalline ZnTcTe2 at its relaxed geometry from Alexandria. Energies are from PBE.

a b c (Å): 3.5256 3.5256 26.4330
angles (deg): 90.00 90.00 120.00
Space group R-3m (No. 166, hexagonal axes)
Unique sites:
Zn  0.0000  0.0000  0.0000 [3 per cell]
Tc  0.0000  0.0000  0.5000 [3 per cell]
Te  0.0000  0.0000  0.4039 [6 per cell]

Calculated values
**E_form (uncorrected)**: 0.731 eV/atom
**Uncorrected energy**: -0.276 Ry per atom
**Density of states at the Fermi level**: 1.201 states/eV per atom



No. 23
Here is crystalline ZnTcTe2 at its relaxed geometry from Alexandria. Energies are from PBE.

a b c (Å): 5.066 3.861 6.146
angles (deg): 90.00 114.25 90.00
Space group P2/m (No. 10)
Unique sites:
Zn  0.000  0.000  0.000 [1 per cell]
Tc  0.500  0.000  0.000 [1 per cell]
Te  0.338  0.500  0.676 [2 per cell]

Calculated values
**E_form (uncorrected)**: 0.200 eV/atom
**Uncorrected energy**: -0.315 Ry per atom
**Density of states at the Fermi level**: 0.670 states/eV per atom



No. 24
Here is crystalline ZnTcTe2 at its relaxed geometry from Alexandria. Energies are from PBE.

a b c (Å): 3.3634 3.3634 31.7918
angles (deg): 90.00 90.00 120.00
Space group R-3m (No. 166, hexagonal axes)
Unique sites:
Zn  0.0000  0.0000  0.0000 [3 per cell]
Tc  0.0000  0.0000  0.5000 [3 per cell]
Te  0.0000  0.0000  0.1065 [6 per cell]

Calculated values
**E_form (uncorrected)**: 0.216 eV/atom
**Uncorrected energy**: -0.313 Ry per atom
**Density of states at the Fermi level**: 1.909 states/eV per atom



No. 25
Here is crystalline Zr3TcTe at its relaxed geometry from Alexandria. Energies are from PBE.

a b c (Å): 5.038 5.038 5.038
angles (deg): 90.00 90.00 90.00
Space group Pm-3m (No. 221)
Unique sites:
Zr  0.000  0.000  0.500 [3 per cell]
Tc  0.000  0.000  0.000 [1 per cell]
Te  0.500  0.500  0.500 [1 per cell]

Calculated values
**E_form (uncorrected)**: 0.205 eV/atom
**Distance to the lowest polymorph of the same formula**: 0 meV/atom
**Uncorrected energy**: -0.560 Ry per atom
**Density of states at the Fermi level**: 1.128 states/eV per atom



No. 26
Here is crystalline ZrTcTe2 at its relaxed geometry from Alexandria. Energies are from PBE.

a b c (Å): 3.644 3.644 7.525
angles (deg): 90.00 90.00 90.00
Space group P4mm (No. 99)
Unique sites:
Zr  0.000  0.000  0.000 [1 per cell]
Tc  0.500  0.500  0.208 [1 per cell]
Te  0.000  0.000  0.383 [1 per cell]
Te  0.500  0.500  0.817 [1 per cell]

Calculated values
**E_form (uncorrected)**: -0.262 eV/atom
**Distance to the lowest polymorph of the same formula**: 124 meV/atom
**Uncorrected energy**: -0.482 Ry per atom
**Density of states at the Fermi level**: 1.013 states/eV per atom



No. 27
Here is crystalline ZrTc3Te at its relaxed geometry from Alexandria. Energies are from PBE.

a b c (Å): 4.761 4.761 4.761
angles (deg): 90.00 90.00 90.00
Space group Pm-3m (No. 221)
Unique sites:
Zr  0.000  0.000  0.000 [1 per cell]
Tc  0.000  0.500  0.500 [3 per cell]
Te  0.500  0.500  0.500 [1 per cell]

Calculated values
**E_form (uncorrected)**: 1.260 eV/atom
**Distance to the lowest polymorph of the same formula**: 0 meV/atom
**Uncorrected energy**: -0.536 Ry per atom
**Density of states at the Fermi level**: 1.040 states/eV per atom



No. 28
Here is crystalline ZrTc2Te at its relaxed geometry from Alexandria. Energies are from PBE.

a b c (Å): 9.008 3.269 5.073
angles (deg): 90.00 103.51 90.00
Space group C2/m (No. 12)
Unique sites:
Zr  0.000  0.000  0.000 [2 per cell]
Tc  0.250  0.000  0.745 [4 per cell]
Te  0.000  0.500  0.500 [2 per cell]

Calculated values
**E_form (uncorrected)**: 0.100 eV/atom
**Uncorrected energy**: -0.588 Ry per atom
**Density of states at the Fermi level**: 1.023 states/eV per atom



No. 29
Here is crystalline ZrTc2Te at its relaxed geometry from Alexandria. Energies are from PBE.

a b c (Å): 10.202 3.412 4.424
angles (deg): 90.00 113.43 90.00
Space group Cm (No. 8)
Unique sites:
Zr  0.000  0.000  0.000 [2 per cell]
Tc  0.000  0.500  0.495 [2 per cell]
Tc  0.250  0.000  0.785 [2 per cell]
Te  0.261  0.500  0.295 [2 per cell]

Calculated values
**E_form (uncorrected)**: -0.026 eV/atom
**Uncorrected energy**: -0.598 Ry per atom
**Density of states at the Fermi level**: 0.534 states/eV per atom